# 1
Computed, not measured: TbSm2Y2Er2 after structural relaxation at the PBE-GGA level of DFT.

The structure in POSCAR format:
```
TbSm2Y2Er2
1.0
3.5140 0.0000 0.0000
-1.7570 5.6047 1.6873
0.0000 0.4364 11.7732
Er Sm Y Tb
2 2 2 1
direct
0.7729 0.5458 0.3637
0.2271 0.4542 0.6363
0.6717 0.3434 0.9153
0.3283 0.6566 0.0847
0.4503 0.9006 0.7711
0.5497 0.0994 0.2289
0.0000 0.0000 0.5000
```

Space group: No. 12

=====

# 2
Computed, not measured: Tb2SmYEr after structural relaxation at the PBE-GGA level of DFT.

The structure in POSCAR format:
```
Tb2SmYEr
1.0
-6.3562 -2.0809 -2.7038
3.9700 -4.3097 -6.0159
-1.9030 -2.4825 6.3841
Sm Er Tb Y
2 2 4 2
direct
0.2500 0.7243 0.4487
0.7500 0.2757 0.5513
0.7500 0.7245 0.4490
0.2500 0.2755 0.5510
0.0000 0.6896 0.0000
0.5000 0.3104 0.0000
0.5000 0.6896 0.0000
0.0000 0.3104 0.0000
0.2500 0.9960 0.9921
0.7500 0.0040 0.0079
```

Space group: No. 63

=====

# 3
Computed, not measured: Tb6SmY2Er after structural relaxation at the PBE-GGA level of DFT.

The structure in POSCAR format:
```
Tb6SmY2Er
1.0
-9.0074 -3.0119 0.0973
0.4850 -0.1063 -8.7995
2.9625 -7.0918 4.3136
Er Y Tb Sm
2 4 12 2
direct
0.7500 0.5900 0.4100
0.2500 0.4100 0.5900
0.9531 0.6969 0.7989
0.4531 0.7989 0.6969
0.5469 0.2011 0.3031
0.0469 0.3031 0.2011
0.5569 0.7544 0.1220
0.1177 0.7086 0.4874
0.8823 0.2914 0.5126
0.8150 0.4354 0.9854
0.1850 0.5646 0.0146
0.6850 0.0146 0.5646
0.6177 0.4874 0.7086
0.0569 0.1220 0.7544
0.9431 0.8780 0.2456
0.3150 0.9854 0.4354
0.4431 0.2456 0.8780
0.3823 0.5126 0.2914
0.7500 0.0276 0.9724
0.2500 0.9724 0.0276
```

Space group: No. 15

=====

# 4
Computed, not measured: Tb6SmY3Er2 after structural relaxation at the PBE-GGA level of DFT.

The structure in POSCAR format:
```
Tb6SmY3Er2
1.0
-3.1680 3.1312 4.2596
5.1110 -3.0534 1.5935
5.7099 9.4425 -4.1736
Tb Y Er Sm
6 3 2 1
direct
0.9162 0.5823 0.7508
0.7498 0.7498 0.2492
0.4177 0.0838 0.2492
0.0838 0.4177 0.2492
0.5823 0.9162 0.7508
0.2502 0.2502 0.7508
0.5000 0.5000 0.5000
0.1669 0.8331 0.5000
0.8331 0.1669 0.5000
0.3334 0.6666 0.0000
0.6666 0.3334 0.0000
0.0000 0.0000 0.0000
```

Space group: No. 12

=====

# 5
Computed, not measured: Tb2SmYEr2 after structural relaxation at the PBE-GGA level of DFT.

The structure in POSCAR format:
```
Tb2SmYEr2
1.0
3.3745 0.0000 0.0000
0.0000 6.6326 0.0000
0.0000 0.0000 17.5529
Er Y Tb Sm
4 2 4 2
direct
0.5000 0.2629 0.3203
0.0000 0.7629 0.1797
0.5000 0.7371 0.6797
0.0000 0.2371 0.8203
0.0000 0.0000 0.0000
0.5000 0.5000 0.5000
0.5000 0.7651 0.3492
0.5000 0.2349 0.6508
0.0000 0.7349 0.8492
0.0000 0.2651 0.1508
0.0000 0.0000 0.5000
0.5000 0.5000 0.0000
```

Space group: No. 58

=====

# 6
Computed, not measured: TbSmYEr3 after structural relaxation at the PBE-GGA level of DFT.

The structure in POSCAR format:
```
TbSmYEr3
1.0
-0.8830 -4.7094 -1.4811
4.2084 -0.2330 6.7228
-8.5048 -0.0789 5.3212
Er Sm Y Tb
6 2 2 2
direct
0.8329 0.6658 0.2500
0.1671 0.3342 0.7500
0.6673 0.3347 0.9997
0.3327 0.6653 0.0003
0.6673 0.3347 0.5003
0.3327 0.6653 0.4997
0.4991 0.9983 0.2500
0.5009 0.0017 0.7500
0.8323 0.6645 0.7500
0.1677 0.3355 0.2500
0.0000 0.0000 0.5000
0.0000 0.0000 0.0000
```

Space group: No. 63

=====

Short version: total DFT energy (no corrections) = -35.51; -45.91; -97.52; -60.81; -55.83; -58.74 eV/cell, in the order given.
Short version: formation enthalpy at 0 K = 0.614; 2.053; 1.230; 0.208; 1.653; 0.132 eV per formula unit, in the order given.
Short version: magnetic moment = 0.0; 0.0; 0.0; 0.0; 0.0; 0.0 μB per formula unit, in the order given.